DFT (PBE with a Hubbard U) results for a relaxed HfCoNO crystal.

The value obtained for the final energy is -134.78 eV per cell.

It has space group Pca2_1 (No. 29), with a = 5.797 Å, b = 5.590 Å, c = 5.189 Å, α = 90.00°, β = 90.00° and γ = 90.00°. The inequivalent atoms are Hf at (0.100, 0.236, 0.000), Co at (0.111, 0.765, 0.998), N at (0.141, 0.004, 0.675) and O at (0.141, 0.484, 0.659).

=====

DFT (PBE with a Hubbard U) results for a relaxed HfCoNO crystal.

The value obtained for the final energy is -67.92 eV per cell.

It has space group Pmc2_1 (No. 26), with a = 3.748 Å, b = 5.870 Å, c = 4.406 Å, α = 90.00°, β = 90.00° and γ = 90.00°. The inequivalent atoms are Hf at (0.000, 0.193, 0.000), Co at (0.500, 0.299, 0.507), N at (0.000, 0.156, 0.500) and O at (0.500, 0.336, 0.004).

=====

Q: Which value of final energy does entry 1 give?
A: -134.78 eV per cell

=====

Q: Among the records above, which one has the highest final energy?
A: number 2

=====

Q: Which value of final energy does entry 2 give?
A: -67.92 eV per cell